# 1
# Pm3DyTh2S6 (PBE, optimized geometry)
# formation energy (no corrections)	-1.947	eV/atom
# crystal system	monoclinic
data_Pm3DyTh2S6
_cell_length_a 6.946
_cell_length_b 6.946
_cell_length_c 6.964
_cell_angle_alpha 99.61
_cell_angle_beta 99.61
_cell_angle_gamma 119.85
_symmetry_space_group_name_H-M 'P 1'
_symmetry_Int_Tables_number 1
loop_
_symmetry_equiv_pos_as_xyz
'x,y,z'
loop_
_atom_site_label
_atom_site_type_symbol
_atom_site_fract_x
_atom_site_fract_y
_atom_site_fract_z
Pm1 Pm 0.000 0.000 0.000
Pm2 Pm 0.332 0.668 0.000
Pm3 Pm 0.668 0.332 0.000
Dy1 Dy 0.500 0.500 0.500
Th1 Th 0.167 0.833 0.500
Th2 Th 0.833 0.167 0.500
S1 S 0.091 0.418 0.253
S2 S 0.256 0.256 0.748
S3 S 0.418 0.091 0.253
S4 S 0.582 0.909 0.747
S5 S 0.744 0.744 0.252
S6 S 0.909 0.582 0.747

=====

# 2
# Br2Cl (PBE, optimized geometry)
# formation energy (no corrections)	0.076	eV/atom
# relative energy among the computed polymorphs	0.093	eV/f.u.
# crystal system	monoclinic
data_Br2Cl
_cell_length_a 5.239
_cell_length_b 5.239
_cell_length_c 12.426
_cell_angle_alpha 98.78
_cell_angle_beta 98.78
_cell_angle_gamma 48.73
_symmetry_space_group_name_H-M 'P 1'
_symmetry_Int_Tables_number 1
loop_
_symmetry_equiv_pos_as_xyz
'x,y,z'
loop_
_atom_site_label
_atom_site_type_symbol
_atom_site_fract_x
_atom_site_fract_y
_atom_site_fract_z
Br1 Br 0.057 0.057 0.332
Br2 Br 0.376 0.376 0.998
Br3 Br 0.624 0.624 0.002
Br4 Br 0.943 0.943 0.668
Cl1 Cl 0.286 0.286 0.339
Cl2 Cl 0.714 0.714 0.661

=====

# 3
# TmLuMnAl (PBE, optimized geometry)
# ΔH_f (0 K)	-0.10	eV per atom
# crystal system	cubic
data_TmLuMnAl
_cell_length_a 4.985
_cell_length_b 4.985
_cell_length_c 4.985
_cell_angle_alpha 60.00
_cell_angle_beta 60.00
_cell_angle_gamma 60.00
_symmetry_space_group_name_H-M 'P 1'
_symmetry_Int_Tables_number 1
loop_
_symmetry_equiv_pos_as_xyz
'x,y,z'
loop_
_atom_site_label
_atom_site_type_symbol
_atom_site_fract_x
_atom_site_fract_y
_atom_site_fract_z
Tm1 Tm 0.000 0.000 0.000
Lu1 Lu 0.500 0.500 0.500
Mn1 Mn 0.250 0.250 0.250
Al1 Al 0.750 0.750 0.750

=====

# 4
# Ta2Te (PBE, optimized geometry)
# formation energy (no corrections)	0.487	eV/atom
# crystal system	tetragonal
data_Ta2Te
_cell_length_a 5.411
_cell_length_b 5.411
_cell_length_c 5.411
_cell_angle_alpha 111.07
_cell_angle_beta 111.07
_cell_angle_gamma 106.32
_symmetry_space_group_name_H-M 'P 1'
_symmetry_Int_Tables_number 1
loop_
_symmetry_equiv_pos_as_xyz
'x,y,z'
loop_
_atom_site_label
_atom_site_type_symbol
_atom_site_fract_x
_atom_site_fract_y
_atom_site_fract_z
Ta1 Ta 0.162 0.662 0.823
Ta2 Ta 0.338 0.162 0.500
Ta3 Ta 0.662 0.838 0.500
Ta4 Ta 0.838 0.338 0.177
Te1 Te 0.250 0.250 0.000
Te2 Te 0.750 0.750 0.000

=====

# 5
# DyTh3H8 (PBE, optimized geometry)
# crystal system	cubic
data_DyTh3H8
_cell_length_a 5.391
_cell_length_b 5.391
_cell_length_c 5.391
_cell_angle_alpha 90.00
_cell_angle_beta 90.00
_cell_angle_gamma 90.00
_symmetry_space_group_name_H-M 'P 1'
_symmetry_Int_Tables_number 1
loop_
_symmetry_equiv_pos_as_xyz
'x,y,z'
loop_
_atom_site_label
_atom_site_type_symbol
_atom_site_fract_x
_atom_site_fract_y
_atom_site_fract_z
Dy1 Dy 0.000 0.000 0.000
Th1 Th 0.000 0.500 0.500
Th2 Th 0.500 0.000 0.500
Th3 Th 0.500 0.500 0.000
H1 H 0.243 0.243 0.243
H2 H 0.243 0.243 0.757
H3 H 0.243 0.757 0.243
H4 H 0.243 0.757 0.757
H5 H 0.757 0.243 0.243
H6 H 0.757 0.243 0.757
H7 H 0.757 0.757 0.243
H8 H 0.757 0.757 0.757

=====

# 6
# Er4ThSb2 (PBE, optimized geometry)
# formation energy (no corrections)	0.481	eV/atom
# crystal system	tetragonal
data_Er4ThSb2
_cell_length_a 9.036
_cell_length_b 9.036
_cell_length_c 9.036
_cell_angle_alpha 144.62
_cell_angle_beta 144.62
_cell_angle_gamma 50.90
_symmetry_space_group_name_H-M 'P 1'
_symmetry_Int_Tables_number 1
loop_
_symmetry_equiv_pos_as_xyz
'x,y,z'
loop_
_atom_site_label
_atom_site_type_symbol
_atom_site_fract_x
_atom_site_fract_y
_atom_site_fract_z
Er1 Er 0.000 0.500 0.500
Er2 Er 0.189 0.189 0.000
Er3 Er 0.500 0.000 0.500
Er4 Er 0.811 0.811 0.000
Th1 Th 0.000 0.000 0.000
Sb1 Sb 0.372 0.372 0.000
Sb2 Sb 0.628 0.628 0.000

=====

# 7
# GaCuN2 (PBE, optimized geometry)
# formation energy (no corrections)	0.366	eV/atom
# crystal system	tetragonal
data_GaCuN2
_cell_length_a 5.527
_cell_length_b 5.527
_cell_length_c 5.527
_cell_angle_alpha 131.91
_cell_angle_beta 131.91
_cell_angle_gamma 70.37
_symmetry_space_group_name_H-M 'P 1'
_symmetry_Int_Tables_number 1
loop_
_symmetry_equiv_pos_as_xyz
'x,y,z'
loop_
_atom_site_label
_atom_site_type_symbol
_atom_site_fract_x
_atom_site_fract_y
_atom_site_fract_z
Ga1 Ga 0.000 0.000 0.000
Ga2 Ga 0.750 0.250 0.500
Cu1 Cu 0.250 0.750 0.500
Cu2 Cu 0.500 0.500 0.000
N1 N 0.126 0.625 0.001
N2 N 0.375 0.376 0.501
N3 N 0.624 0.125 0.999
N4 N 0.875 0.874 0.499

=====

# 8
# SbTe2P (PBE, optimized geometry)
# formation energy (no corrections)	0.242	eV/atom
# relative energy among the computed polymorphs	0.334	eV/f.u.
# crystal system	tetragonal
data_SbTe2P
_cell_length_a 4.283
_cell_length_b 4.283
_cell_length_c 6.087
_cell_angle_alpha 90.00
_cell_angle_beta 90.00
_cell_angle_gamma 90.00
_symmetry_space_group_name_H-M 'P 1'
_symmetry_Int_Tables_number 1
loop_
_symmetry_equiv_pos_as_xyz
'x,y,z'
loop_
_atom_site_label
_atom_site_type_symbol
_atom_site_fract_x
_atom_site_fract_y
_atom_site_fract_z
Sb1 Sb 0.000 0.000 0.000
Te1 Te 0.000 0.000 0.500
Te2 Te 0.500 0.500 0.000
P1 P 0.500 0.500 0.500

=====

| no. | VASP energy (eV per formula unit) |
| --- | --- |
| 1 | -81.822 |
| 2 | -4.965 |
| 3 | -22.285 |
| 4 | -25.387 |
| 5 | -60.462 |
| 6 | -30.551 |
| 7 | -22.309 |
| 8 | -14.847 |